# SmHo3Tl5

SmHo3Tl5 after structural relaxation (PBE, Alexandria).

Output
Formation energy (eV per atom): -0.2772
M_tot (μB per cell): 0.000
Crystal system: hexagonal
Uncorrected energy (eV for the cell shown): -65.56

a b c (Å): 9.377 9.377 6.563
angles (deg): 90.00 90.00 120.00
Positions (direct):
Sm1 0.000 0.000 0.000
Sm2 0.000 0.000 0.500
Ho1 0.000 0.367 0.250
Ho2 0.000 0.633 0.750
Ho3 0.367 0.000 0.250
Ho4 0.367 0.367 0.750
Ho5 0.633 0.000 0.750
Ho6 0.633 0.633 0.250
Tl1 0.000 0.304 0.750
Tl2 0.000 0.696 0.250
Tl3 0.304 0.000 0.750
Tl4 0.304 0.304 0.250
Tl5 0.333 0.667 0.000
Tl6 0.333 0.667 0.500
Tl7 0.667 0.333 0.000
Tl8 0.667 0.333 0.500
Tl9 0.696 0.000 0.250
Tl10 0.696 0.696 0.750